No. 1
Computed, not measured: HfAlCoAg after structural relaxation at the PBE-GGA level of DFT.

Unit cell a=4.480 b=4.480 c=4.480 alpha=60.00 beta=60.00 gamma=60.00
Atoms (fractional coordinates):
Hf (0.000, 0.000, 0.000)
Al (0.500, 0.500, 0.500)
Co (0.250, 0.250, 0.250)
Ag (0.750, 0.750, 0.750)

## Properties
calculated volume	15.9	A^3/atom
ρ	9.7	Mg/m³
energy of formation from the pure elements	-0.20	eV per atom
electronic total energy	-6.116	eV per atom
space group	No. 216

No. 2
Computed, not measured: AlCoAg2I after structural relaxation at the PBE-GGA level of DFT.

Unit cell a=5.042 b=5.042 c=4.606 alpha=90.00 beta=90.00 gamma=90.00
Atoms (fractional coordinates):
Al (0.000, 0.000, 0.000)
Co (0.000, 0.000, 0.500)
Ag (0.000, 0.500, 0.000)
Ag (0.500, 0.000, 0.000)
I (0.500, 0.500, 0.500)

## Properties
calculated volume	23.4	A^3/atom
ρ	6.1	Mg/m³
electronic total energy	-2.922	eV per atom
space group	No. 123

No. 3
Computed, not measured: LaAl2CoAg after structural relaxation at the PBE-GGA level of DFT.

Unit cell a=4.520 b=4.520 c=5.034 alpha=90.00 beta=90.00 gamma=90.00
Atoms (fractional coordinates):
La (0.000, 0.000, 0.000)
Al (0.000, 0.500, 0.500)
Al (0.500, 0.000, 0.500)
Co (0.500, 0.500, 0.500)
Ag (0.500, 0.500, 0.000)

## Properties
calculated volume	20.6	A^3/atom
ρ	5.8	Mg/m³
energy of formation from the pure elements	-0.24	eV per atom
electronic total energy	-4.713	eV per atom
space group	No. 123

No. 4
Computed, not measured: La2Al12Co3Ag after structural relaxation at the PBE-GGA level of DFT.

Unit cell a=8.021 b=8.021 c=8.021 alpha=65.09 beta=65.09 gamma=65.09
Atoms (fractional coordinates):
La (0.095, 0.095, 0.095)
La (0.905, 0.905, 0.905)
Al (0.116, 0.623, 0.623)
Al (0.225, 0.225, 0.569)
Al (0.225, 0.569, 0.225)
Al (0.377, 0.377, 0.884)
Al (0.377, 0.884, 0.377)
Al (0.431, 0.775, 0.775)
Al (0.569, 0.225, 0.225)
Al (0.623, 0.116, 0.623)
Al (0.623, 0.623, 0.116)
Al (0.775, 0.431, 0.775)
Al (0.775, 0.775, 0.431)
Al (0.884, 0.377, 0.377)
Co (0.000, 0.500, 0.500)
Co (0.500, 0.000, 0.500)
Co (0.500, 0.500, 0.000)
Ag (0.500, 0.500, 0.500)

## Properties
calculated volume	22.5	A^3/atom
ρ	3.6	Mg/m³
energy of formation from the pure elements	0.08	eV per atom
electronic total energy	-4.307	eV per atom
space group	No. 166

No. 5
Computed, not measured: La2AlCoAg after structural relaxation at the PBE-GGA level of DFT.

Unit cell a=5.286 b=5.286 c=4.632 alpha=90.00 beta=90.00 gamma=90.00
Atoms (fractional coordinates):
La (0.000, 0.500, 0.000)
La (0.500, 0.000, 0.000)
Al (0.000, 0.000, 0.500)
Co (0.000, 0.000, 0.000)
Ag (0.500, 0.500, 0.500)

## Properties
calculated volume	25.9	A^3/atom
ρ	6.1	Mg/m³
energy of formation from the pure elements	-0.26	eV per atom
electronic total energy	-4.967	eV per atom
space group	No. 123

No. 6
Computed, not measured: LuAlCoAg after structural relaxation at the PBE-GGA level of DFT.

Unit cell a=4.574 b=4.574 c=4.574 alpha=60.00 beta=60.00 gamma=60.00
Atoms (fractional coordinates):
Lu (0.000, 0.000, 0.000)
Al (0.500, 0.500, 0.500)
Co (0.250, 0.250, 0.250)
Ag (0.750, 0.750, 0.750)

## Properties
calculated volume	16.9	A^3/atom
ρ	9.1	Mg/m³
energy of formation from the pure elements	-0.22	eV per atom
electronic total energy	-4.776	eV per atom
space group	No. 216

No. 7
Computed, not measured: Mn2AlCoAg after structural relaxation at the PBE-GGA level of DFT.

Unit cell a=4.550 b=4.550 c=4.591 alpha=90.00 beta=90.00 gamma=90.00
Atoms (fractional coordinates):
Mn (0.000, 0.500, 0.000)
Mn (0.500, 0.000, 0.000)
Al (0.000, 0.000, 0.000)
Co (0.500, 0.500, 0.500)
Ag (0.000, 0.000, 0.500)

## Properties
calculated volume	19.0	A^3/atom
ρ	5.3	Mg/m³
energy of formation from the pure elements	1.22	eV per atom
electronic total energy	-5.187	eV per atom
space group	No. 123

No. 8
Computed, not measured: AlCoAg2Mo after structural relaxation at the PBE-GGA level of DFT.

Unit cell a=4.754 b=4.754 c=4.280 alpha=90.00 beta=90.00 gamma=90.00
Atoms (fractional coordinates):
Al (0.000, 0.000, 0.000)
Co (0.500, 0.500, 0.500)
Ag (0.000, 0.500, 0.500)
Ag (0.500, 0.000, 0.500)
Mo (0.500, 0.500, 0.000)

## Properties
calculated volume	19.3	A^3/atom
ρ	6.8	Mg/m³
energy of formation from the pure elements	0.99	eV per atom
electronic total energy	-4.487	eV per atom
space group	No. 123

Question: What is the electronic total energy in the second record?
Answer: -2.922 eV per atom

Question: Which of these has the highest calculated volume?
Answer: La2AlCoAg

Question: The lowest electronic total energy belongs to which entry?
Answer: HfAlCoAg